No. 1
A plane-wave DFT calculation with GGA-PBE was carried out for a relaxed structure of LaIn2Ru.

The space group is Imm2 (No. 44) and the conventional cell measures 3.283, 4.556 and 13.338 Å, with angles of 90.00, 90.00 and 90.00 degrees. The distinct sites, in fractional coordinates, are La at (0.000, 0.000, 0.000), In at (0.000, 0.000, 0.351), In at (0.000, 0.500, 0.194) and Ru at (0.000, 0.500, 0.677).

***

No. 2
A plane-wave DFT calculation with GGA-PBE was carried out for a relaxed structure of LiLaGe2Os.

The space group is I-4m2 (No. 119) and the conventional cell measures 4.276, 4.276 and 10.565 Å, with angles of 90.00, 90.00 and 90.00 degrees. The distinct sites, in fractional coordinates, are Li at (0.000, 0.000, 0.000), La at (0.000, 0.500, 0.250), Ge at (0.000, 0.500, 0.619) and Os at (0.000, 0.000, 0.500).

***

Calculated formation energy in order - -0.1640; -0.4425 eV/atom
Calculated volume in order - 24.939; 19.320 A^3/atom